# 1
4
Lattice="-4.047 -2.230 -0.630 -2.954 -0.523 3.570 -4.010 2.379 0.076" Properties=species:S:1:pos:R:3 comment="Sc2AlH PBE relaxed" de_polymorph_ev_per_atom=0.3669 pbc="T T T"
Al -5.506 -0.187 1.508
H 0.000 0.000 0.000
Sc -2.753 -0.094 0.754
Sc -8.258 -0.281 2.263


# 2
5
Lattice="5.513 0.000 0.000 -2.756 4.802 0.296 0.000 0.817 8.164" Properties=species:S:1:pos:R:3 comment="TlHg2N2 PBE relaxed" raw_formation_energy_kj_per_mol_fu=64 pbc="T T T"
Hg 2.756 1.572 0.639
Hg 0.000 4.047 7.821
N 0.000 0.650 4.584
N 2.756 4.968 3.875
Tl 0.000 0.000 0.000


# 3
24
Lattice="5.213 0.000 0.000 -2.606 4.514 0.000 0.000 0.000 16.498" Properties=species:S:1:pos:R:3 comment="Er2ThCu9 PBE relaxed" ef_ev_per_atom=-0.1866 pbc="T T T"
Er 2.606 1.505 0.591
Er 0.000 3.009 15.907
Er 2.606 1.505 7.658
Er 0.000 3.009 8.840
Cu 0.000 0.000 0.000
Cu 3.906 0.754 10.321
Cu 1.300 3.760 6.177
Cu 2.606 1.505 12.374
Cu -1.300 3.760 6.177
Cu 0.000 0.000 8.249
Cu 2.606 3.006 10.321
Cu 2.606 3.006 14.426
Cu 1.306 0.754 14.426
Cu 0.000 0.000 4.125
Cu 1.300 3.760 2.072
Cu 0.000 0.000 12.374
Cu 1.306 0.754 10.321
Cu 0.000 3.009 4.125
Cu -1.300 3.760 2.072
Cu 0.000 1.508 6.177
Cu 0.000 1.508 2.072
Cu 3.906 0.754 14.426
Th 2.606 1.505 4.125
Th 0.000 3.009 12.374


# 4
6
Lattice="2.688 0.000 0.000 0.000 4.401 0.000 0.000 0.000 7.975" Properties=species:S:1:pos:R:3 comment="ReMo2 PBE relaxed" de_polymorph_ev_per_atom=0.1056 ef_ev_per_atom=0.1494 pbc="T T T"
Mo 0.453 0.000 2.707
Mo 1.797 2.200 1.280
Mo 0.891 2.200 6.694
Mo 2.235 0.000 5.268
Re 1.344 2.200 3.987
Re 0.000 0.000 0.000


# 5
4
Lattice="-1.260 0.859 -2.228 1.089 -2.388 -0.633 -7.112 -3.911 2.515" Properties=species:S:1:pos:R:3 comment="NiMoW2 PBE relaxed" de_polymorph_ev_per_atom=0.0000 ef_ev_per_atom=0.0602 pbc="T T T"
Mo -3.668 -2.018 1.297
W -6.993 -3.846 2.473
W -1.865 -1.743 -0.801
Ni -5.423 -3.700 0.457


# 6
3
Lattice="-3.045 1.551 4.174 1.934 -0.343 5.024 1.242 4.487 2.725" Properties=species:S:1:pos:R:3 comment="KCaBe PBE relaxed" de_polymorph_ev_per_atom=0.1848 ef_ev_per_atom=0.7478 pbc="T T T"
K 0.066 2.847 5.961
Be 0.098 4.271 8.942
Ca 0.000 0.000 0.000


# 7
7
Lattice="-1.922 5.503 1.284 -0.916 1.577 5.743 3.995 4.403 0.979" Properties=species:S:1:pos:R:3 comment="BaIn2Au4 PBE relaxed" de_polymorph_ev_per_atom=0.0026 ef_ev_per_atom=-0.4181 pbc="T T T"
Au -1.894 4.777 4.436
Au -0.944 2.303 2.591
Au 0.933 3.382 0.771
Au 1.140 6.523 1.492
In 1.059 4.366 3.682
In 0.098 7.117 4.324
Ba 0.000 0.000 0.000


# 8
8
Lattice="-0.307 6.735 5.286 -5.756 3.753 -5.116 -5.249 3.937 1.621" Properties=species:S:1:pos:R:3 comment="La2ZrMo PBE relaxed" de_polymorph_ev_per_atom=0.5388 ef_ev_per_atom=0.7363 pbc="T T T"
Mo 0.000 0.000 0.000
Mo -4.294 7.958 3.496
Zr -3.032 5.244 0.085
Zr -7.019 6.467 -1.705
La -5.845 6.647 1.605
La -4.929 3.744 -2.467
La -2.243 6.090 3.405
La -9.608 12.368 1.040


# 9
8
Lattice="6.267 0.000 0.000 0.000 6.267 0.000 3.134 3.134 4.445" Properties=species:S:1:pos:R:3 comment="SrBRu2 PBE relaxed" ef_ev_per_atom=0.5101 pbc="T T T"
Ru 3.138 4.700 1.111
Ru 3.129 1.567 1.111
Ru 4.700 6.272 3.333
Ru 7.834 6.263 3.333
Sr 6.267 3.134 2.222
Sr 0.000 0.000 0.000
B 3.134 3.134 0.000
B 3.134 6.267 2.222


# 10
12
Lattice="-3.171 -2.531 0.377 5.105 -6.223 1.149 0.156 4.284 8.053" Properties=species:S:1:pos:R:3 comment="Li2Dy3PuSe6 PBE relaxed" raw_formation_energy_kj_per_mol_fu=-1938 pbc="T T T"
Dy 3.771 -4.172 3.707
Dy -1.681 -0.299 5.872
Dy 0.967 -4.377 0.763
Se 1.296 -1.575 0.325
Se 1.183 -0.592 5.973
Se 0.794 -2.896 9.254
Se 0.907 -3.879 3.606
Se 3.707 -3.674 6.506
Se -1.617 -0.796 3.073
Li 0.804 -3.352 6.279
Li 1.286 -1.119 3.300
Pu -1.585 -1.266 0.189


# 11
7
Lattice="4.228 0.000 0.000 0.000 4.228 0.000 0.000 0.000 6.855" Properties=species:S:1:pos:R:3 comment="LiNdPd5 PBE relaxed" ef_ev_per_atom=-0.3957 pbc="T T T"
Pd 2.114 0.000 5.455
Pd 0.000 2.114 5.455
Pd 0.000 2.114 1.401
Pd 2.114 2.114 3.428
Pd 2.114 0.000 1.401
Li 2.114 2.114 0.000
Nd 0.000 0.000 3.428


# 12
16
Lattice="4.253 0.000 0.000 0.000 6.176 0.000 0.000 0.000 7.412" Properties=species:S:1:pos:R:3 comment="LiNbN2 PBE relaxed" de_polymorph_ev_per_atom=0.0000 raw_formation_energy_kj_per_mol_fu=-350 pbc="T T T"
Nb 3.190 0.493 2.712
Nb 1.063 2.595 6.417
Nb 1.063 5.683 4.700
Nb 3.190 3.581 0.994
N 3.190 5.679 4.469
N 1.063 3.585 0.763
N 1.063 0.571 6.323
N 3.190 2.517 2.617
N 3.190 5.605 1.089
N 1.063 0.497 2.943
N 3.190 2.591 6.649
N 1.063 3.660 4.795
Li 3.190 0.469 6.621
Li 1.063 5.708 0.791
Li 3.190 3.557 4.497
Li 1.063 2.620 2.915


# 13
2
Lattice="-1.810 -3.265 -0.382 -0.447 -1.510 -3.406 1.897 -3.097 -0.943" Properties=species:S:1:pos:R:3 comment="LaN PBE relaxed" raw_formation_energy_kj_per_mol_fu=-254 pbc="T T T"
La 0.000 0.000 0.000
N -0.180 -3.936 -2.366


# 14
5
Lattice="4.733 0.000 0.000 0.000 5.664 0.000 0.000 0.000 4.733" Properties=species:S:1:pos:R:3 comment="Cr2ReAsI PBE relaxed" raw_formation_energy_kj_per_mol_fu=834 pbc="T T T"
Cr 2.366 0.000 0.000
Cr 0.000 0.000 2.366
As 0.000 0.000 0.000
I 0.000 2.832 0.000
Re 2.366 2.832 2.366


# 15
5
Lattice="-1.808 -2.480 3.684 3.086 -3.562 -0.884 3.194 2.037 2.939" Properties=species:S:1:pos:R:3 comment="Ta3CrTc PBE relaxed" de_polymorph_ev_per_atom=0.1941 ef_ev_per_atom=1.3514 pbc="T T T"
Tc 0.000 0.000 0.000
Cr 2.236 -2.003 2.869
Ta 1.543 -1.781 -0.442
Ta -0.904 -1.240 1.842
Ta 1.597 1.019 1.469


# 16
10
Lattice="-2.265 -0.835 -6.640 -1.955 -5.982 1.419 -4.556 2.669 4.977" Properties=species:S:1:pos:R:3 comment="RbHCl3 PBE relaxed" de_polymorph_ev_per_atom=0.0000 pbc="T T T"
Cl -5.713 -3.841 3.826
Cl -3.007 -2.399 -1.037
Cl -6.449 -1.352 -1.389
Cl -6.553 -4.150 1.363
Cl -3.108 -5.187 1.712
Cl -3.847 -2.709 -3.500
H -7.607 -0.880 -1.053
H -1.942 -5.635 1.371
Rb -4.644 -5.452 -1.489
Rb -4.917 -1.100 1.816


# 17
4
Lattice="-0.241 -1.985 -2.643 -1.761 -2.166 1.787 -5.153 2.826 -1.653" Properties=species:S:1:pos:R:3 comment="InSi2Mo PBE relaxed" raw_formation_energy_kj_per_mol_fu=34 pbc="T T T"
Mo -4.866 0.044 -1.668
Si -2.827 1.550 -0.907
Si -4.903 2.689 -1.573
In -2.289 -1.369 -0.841


# 18
4
Lattice="5.153 -0.760 0.158 2.900 4.327 -0.158 -3.551 -2.859 2.526" Properties=species:S:1:pos:R:3 comment="MnRh2Cl PBE relaxed" de_polymorph_ev_per_atom=0.2013 raw_formation_energy_kj_per_mol_fu=107 pbc="T T T"
Rh 0.007 0.003 0.000
Rh 4.020 1.781 0.000
Mn 2.815 -0.917 1.342
Cl 1.688 1.626 1.184


# 19
4
Lattice="-2.851 0.530 -5.738 1.595 -0.494 -6.208 -1.028 -4.505 0.094" Properties=species:S:1:pos:R:3 comment="La2HgSb PBE relaxed" de_polymorph_ev_per_atom=0.0287 raw_formation_energy_kj_per_mol_fu=-310 pbc="T T T"
Hg -1.802 -3.916 -8.496
La -2.139 -3.908 -11.699
La -0.711 -1.680 -3.064
Sb -1.060 -1.671 -6.372


# 20
5
Lattice="-1.408 -2.397 4.454 5.167 0.062 1.667 -0.787 4.671 2.265" Properties=species:S:1:pos:R:3 comment="Mg2TaPbO PBE relaxed" raw_formation_energy_kj_per_mol_fu=695 pbc="T T T"
O 1.486 1.168 4.193
Mg -0.704 -1.198 2.227
Mg -0.394 2.335 1.132
Ta 2.584 0.031 0.834
Pb 0.000 0.000 0.000


# 21
8
Lattice="4.106 0.000 0.000 0.000 4.106 0.000 0.000 0.000 4.106" Properties=species:S:1:pos:R:3 comment="Be6FeCo PBE relaxed" de_polymorph_ev_per_atom=0.2527 ef_ev_per_atom=0.0386 pbc="T T T"
Be 3.077 0.000 2.053
Be 0.000 2.053 1.029
Be 1.029 0.000 2.053
Be 2.053 1.029 0.000
Be 2.053 3.077 0.000
Be 0.000 2.053 3.077
Co 0.000 0.000 0.000
Fe 2.053 2.053 2.053


# 22
22
Lattice="7.056 0.000 2.130 3.232 6.256 2.046 -0.018 -0.026 12.810" Properties=species:S:1:pos:R:3 comment="Hg4SbS6 PBE relaxed" raw_formation_energy_kj_per_mol_fu=-32 pbc="T T T"
S 6.498 0.138 10.187
S 2.096 3.284 6.935
S 4.686 3.279 3.767
S 3.413 0.712 13.699
S 2.867 1.938 10.342
S 5.313 3.853 8.400
S 8.881 4.106 15.611
S 7.626 5.079 5.906
S 6.161 4.039 12.329
S 3.524 0.991 7.051
S 0.550 0.924 3.692
S 6.903 0.142 14.258
Sb 1.670 1.851 12.439
Sb 7.461 4.992 8.315
Hg 2.195 2.940 3.129
Hg 5.445 1.494 12.172
Hg 4.465 4.635 6.004
Hg 8.710 4.071 11.575
Hg 6.172 1.422 7.928
Hg 6.191 4.537 14.876
Hg 5.102 6.055 10.950
Hg 5.900 0.956 3.783


# 23
4
Lattice="5.027 0.000 0.000 2.514 4.354 0.000 2.514 1.451 4.105" Properties=species:S:1:pos:R:3 comment="LiPaSnAu PBE relaxed" ef_ev_per_atom=-0.2859 pbc="T T T"
Pa 7.541 4.354 3.079
Sn 5.027 2.902 2.052
Au 0.000 0.000 0.000
Li 2.514 1.451 1.026


# 24
5
Lattice="5.620 0.000 0.000 0.000 3.615 0.000 0.000 0.000 5.620" Properties=species:S:1:pos:R:3 comment="Ca2AgHPd PBE relaxed" de_polymorph_ev_per_atom=0.5157 pbc="T T T"
Ag 0.000 0.000 0.000
H 0.000 1.807 0.000
Ca 0.000 0.000 2.810
Ca 2.810 0.000 0.000
Pd 2.810 1.807 2.810


# 25
4
Lattice="5.510 -0.104 0.000 2.161 5.069 0.000 -3.835 -2.483 3.081" Properties=species:S:1:pos:R:3 comment="Ca2AsW PBE relaxed" ef_ev_per_atom=0.5139 pbc="T T T"
Ca 3.835 2.483 0.000
Ca 0.000 0.000 0.000
As 2.755 -0.052 1.541
W 1.080 2.535 1.541


| no. | magnetic moment (μB per cell) |
| --- | --- |
| 1 | 0.00 |
| 2 | 0.00 |
| 3 | 0.00 |
| 4 | 0.00 |
| 5 | 0.00 |
| 6 | 0.00 |
| 7 | 0.00 |
| 8 | 0.00 |
| 9 | 3.56 |
| 10 | 6.11 |
| 11 | 0.00 |
| 12 | 0.00 |
| 13 | 0.00 |
| 14 | 3.60 |
| 15 | 4.33 |
| 16 | 2.00 |
| 17 | 0.00 |
| 18 | 3.85 |
| 19 | 0.62 |
| 20 | 2.73 |
| 21 | 1.00 |
| 22 | 0.00 |
| 23 | 0.70 |
| 24 | 0.00 |
| 25 | 1.94 |